Entry from Alexandria: a relaxed LaSe2Br crystal (PBE).

a = 4.9953 Å, b = 5.9184 Å, c = 5.0493 Å
α = 90.00°, β = 116.63°, γ = 90.00°
Space group Pm (No. 6)
Symmetry-distinct sites (fractional):
La 0.0000 0.0000 0.0000
Se 0.1670 0.5000 0.0237
Se 0.3438 0.0000 0.6495
Br 0.7460 0.5000 0.1852

offset from the most stable computed form	1.113	eV per formula unit
ρ	4.69	g/cm³
crystal system	monoclinic



Entry from Alexandria: a relaxed AcSi2Ag4 crystal (PBE).

a = 4.4410 Å, b = 14.2687 Å, c = 4.4713 Å
α = 90.00°, β = 90.00°, γ = 90.00°
Space group Cmmm (No. 65)
Symmetry-distinct sites (fractional):
Ac 0.0000 0.0000 0.0000
Si 0.0000 0.4148 0.5000
Ag 0.0000 0.1820 0.5000
Ag 0.0000 0.3185 0.0000

ρ	8.38	g/cm³
crystal system	orthorhombic



Formation energy (no corrections) per entry: -1.127; -0.259 eV/atom